[1]
{"formula": "Os2PbW", "functional": "PBE-GGA", "state": "relaxed", "total_energy_ev_per_atom": -8.30, "density_kg_m3": 12731, "magmom_total_mub_per_cell": 0.0, "cell": [[-2.5778, -4.3348, -3.6558], [2.9576, -4.4541, 3.1959], [-3.8390, -4.7386, 3.0191]], "species": ["Os", "Os", "Os", "Os", "Pb", "Pb", "W", "W"], "fractional_positions": [[0.8750, 0.8406, 0.7500], [0.5906, 0.1250, 0.2500], [0.1594, 0.6250, 0.2500], [0.3750, 0.4094, 0.7500], [0.7500, 0.2500, 0.5000], [0.0000, 0.0000, 0.0000], [0.5000, 0.5000, 0.0000], [0.2500, 0.7500, 0.5000]]}

[2]
{"formula": "YOsPb3", "functional": "PBE-GGA", "state": "relaxed", "total_energy_ev_per_atom": -5.23, "density_kg_m3": 10001, "magmom_total_mub_per_cell": 0.0, "cell": [[5.3081, 0.0000, 0.0000], [0.0000, 5.3081, 0.0000], [0.0000, 0.0000, 5.3081]], "species": ["Pb", "Pb", "Pb", "Y", "Os"], "fractional_positions": [[0.5000, 0.0000, 0.0000], [0.0000, 0.0000, 0.5000], [0.0000, 0.5000, 0.0000], [0.5000, 0.5000, 0.5000], [0.0000, 0.0000, 0.0000]]}

[3]
{"formula": "YOs2Pb", "functional": "PBE-GGA", "state": "relaxed", "total_energy_ev_per_atom": -7.48, "density_kg_m3": 14058, "magmom_total_mub_per_cell": 0.0, "cell": [[10.0833, 0.0039, 0.0023], [9.6212, 3.0174, 0.0023], [9.6212, 1.4753, 2.6322]], "species": ["Pb", "Os", "Os", "Y"], "fractional_positions": [[0.5096, 0.5096, 0.5096], [0.9902, 0.9902, 0.9902], [0.2582, 0.2582, 0.2582], [0.7420, 0.7420, 0.7420]]}

[4]
{"formula": "YOs2Pb", "functional": "PBE-GGA", "state": "relaxed", "total_energy_ev_per_atom": -7.60, "density_kg_m3": 13976, "magmom_total_mub_per_cell": 0.0, "cell": [[5.0522, -0.0059, 0.0169], [3.9665, 3.1292, 0.0169], [1.4608, 0.5059, 5.0825]], "species": ["Pb", "Os", "Os", "Y"], "fractional_positions": [[0.7500, 0.7500, 0.7500], [0.4938, 0.4938, 0.5508], [0.0062, 0.0062, 0.9492], [0.2500, 0.2500, 0.2500]]}

[5]
{"formula": "YOsPb4", "functional": "PBE-GGA", "state": "relaxed", "total_energy_ev_per_atom": -4.59, "density_kg_m3": 10881, "magmom_total_mub_per_cell": 0.0, "cell": [[-2.9617, -5.3593, -1.0149], [-5.9458, -0.6242, 1.6679], [-4.4232, -0.3275, -4.3419]], "species": ["Pb", "Pb", "Pb", "Pb", "Os", "Y"], "fractional_positions": [[0.3746, 0.8763, 0.3746], [0.3746, 0.3746, 0.3746], [0.8763, 0.3746, 0.3746], [0.3746, 0.3746, 0.8763], [0.0000, 0.0000, 0.0000], [0.7500, 0.7500, 0.7500]]}

[6]
{"formula": "YOs4Pb", "functional": "PBE-GGA", "state": "relaxed", "total_energy_ev_per_atom": -8.88, "density_kg_m3": 16118, "magmom_total_mub_per_cell": 0.0, "cell": [[0.0000, 3.7902, 3.7902], [3.7902, 0.0000, 3.7902], [3.7902, 3.7902, 0.0000]], "species": ["Os", "Os", "Os", "Os", "Pb", "Y"], "fractional_positions": [[0.8746, 0.3751, 0.3751], [0.3751, 0.8746, 0.3751], [0.3751, 0.3751, 0.8746], [0.3751, 0.3751, 0.3751], [0.7500, 0.7500, 0.7500], [0.0000, 0.0000, 0.0000]]}